## P
A relaxed RuRh2 crystal. Source: Alexandria, functional PBE-GGA.

Size of the total moment = 0.00 μB/cell

a b c (Å): 5.1557 5.1557 6.4409
angles (deg): 103.63 103.63 30.61
With the nearest neighbours (Å) after each atom.
Atoms (fractional coordinates):
Ru: 0.1972 0.1972 0.1375  4 Ru 2.65-2.72, 8 Rh 2.67-2.73
Ru: 0.8028 0.8028 0.8625  4 Ru 2.65-2.72, 8 Rh 2.67-2.73
Rh: 0.1413 0.1413 0.5313  9 Rh 2.67-2.78, 3 Ru 2.70-2.73
Rh: 0.4717 0.4717 0.1896  7 Rh 2.64-2.78, 5 Ru 2.67-2.72
Rh: 0.5283 0.5283 0.8104  7 Rh 2.64-2.78, 5 Ru 2.67-2.72
Rh: 0.8587 0.8587 0.4687  9 Rh 2.67-2.78, 3 Ru 2.70-2.73



## Q
A relaxed RuRh2 crystal. Source: Alexandria, functional PBE-GGA.

Size of the total moment = 0.00 μB/cell

a b c (Å): 3.5689 3.5689 4.4731
angles (deg): 90.00 90.00 120.00
With the nearest neighbours (Å) after each atom.
Atoms (fractional coordinates):
Ru: 0.0000 0.0000 0.0000  6 Rh 2.48
Rh: 0.3333 0.6667 0.3076  3 Ru 2.48, 3 Rh 2.68
Rh: 0.6667 0.3333 0.6924  3 Ru 2.48, 3 Rh 2.68



## R
A relaxed RuRh2 crystal. Source: Alexandria, functional PBE-GGA.

Size of the total moment = 0.00 μB/cell

a b c (Å): 4.3272 4.3272 2.6629
angles (deg): 90.00 90.00 120.00
With the nearest neighbours (Å) after each atom.
Atoms (fractional coordinates):
Ru: 0.0000 0.0000 0.0000  2 Ru 2.66, 12 Rh 2.83
Rh: 0.3333 0.6667 0.5000  5 Rh 2.50-2.66
Rh: 0.6667 0.3333 0.5000  5 Rh 2.50-2.66



Short version: P is the most stable of them.



## P
A relaxed Ru2Rh crystal. Source: Alexandria, functional PBE-GGA.

Size of the total moment = 0.00 μB/cell

a b c (Å): 7.2515 7.2515 4.3151
angles (deg): 90.00 90.00 158.29
With the nearest neighbours (Å) after each atom.
Atoms (fractional coordinates):
Ru: 0.1140 0.8860 0.7500  6 Ru 2.67-2.73, 6 Rh 2.68-2.78
Ru: 0.2239 0.7761 0.2500  10 Ru 2.66-2.73, 2 Rh 2.76
Ru: 0.7761 0.2239 0.7500  10 Ru 2.66-2.73, 2 Rh 2.76
Ru: 0.8860 0.1140 0.2500  6 Ru 2.67-2.73, 6 Rh 2.68-2.78
Rh: 0.4442 0.5558 0.7500  4 Rh 2.68-2.73, 8 Ru 2.68-2.78
Rh: 0.5558 0.4442 0.2500  4 Rh 2.68-2.73, 8 Ru 2.68-2.78



## Q
A relaxed Ru2Rh crystal. Source: Alexandria, functional PBE-GGA.

Size of the total moment = 0.00 μB/cell

a b c (Å): 11.7698 11.7698 11.7698
angles (deg): 161.27 161.27 26.61
With the nearest neighbours (Å) after each atom.
Atoms (fractional coordinates):
Ru: 0.1239 0.3739 0.7500  4 Rh 2.67-2.70, 8 Ru 2.68-2.72
Ru: 0.2920 0.5420 0.7500  6 Ru 2.68-2.72, 6 Rh 2.71-2.73
Ru: 0.3739 0.1239 0.2500  4 Rh 2.67-2.70, 8 Ru 2.68-2.72
Ru: 0.4580 0.7080 0.7500  6 Ru 2.68-2.72, 6 Rh 2.71-2.73
Ru: 0.5420 0.2920 0.2500  6 Ru 2.68-2.72, 6 Rh 2.71-2.73
Ru: 0.6261 0.8761 0.7500  4 Rh 2.67-2.70, 8 Ru 2.68-2.72
Ru: 0.7080 0.4580 0.2500  6 Ru 2.68-2.72, 6 Rh 2.71-2.73
Ru: 0.8761 0.6261 0.2500  4 Rh 2.67-2.70, 8 Ru 2.68-2.72
Rh: 0.0429 0.7929 0.2500  10 Ru 2.67-2.73, 2 Rh 2.74
Rh: 0.2071 0.9571 0.2500  10 Ru 2.67-2.73, 2 Rh 2.74
Rh: 0.7929 0.0429 0.7500  10 Ru 2.67-2.73, 2 Rh 2.74
Rh: 0.9571 0.2071 0.7500  10 Ru 2.67-2.73, 2 Rh 2.74



## R
A relaxed Ru2Rh crystal. Source: Alexandria, functional PBE-GGA.

Size of the total moment = 0.00 μB/cell

a b c (Å): 7.3633 7.3633 2.7033
angles (deg): 90.00 90.00 120.00
With the nearest neighbours (Å) after each atom.
Atoms (fractional coordinates):
Ru: 0.0000 0.3033 0.0000  4 Rh 2.57-2.61, 8 Ru 2.70-2.83
Ru: 0.0000 0.6410 0.5000  5 Rh 2.64-2.72, 8 Ru 2.70-2.83
Ru: 0.3033 0.0000 0.0000  4 Rh 2.57-2.61, 8 Ru 2.70-2.83
Ru: 0.3590 0.3590 0.5000  5 Rh 2.64-2.72, 8 Ru 2.70-2.83
Ru: 0.6410 0.0000 0.5000  5 Rh 2.64-2.72, 8 Ru 2.70-2.83
Ru: 0.6967 0.6967 0.0000  4 Rh 2.57-2.61, 8 Ru 2.70-2.83
Rh: 0.0000 0.0000 0.5000  9 Ru 2.61-2.64, 2 Rh 2.70
Rh: 0.3333 0.6667 0.0000  9 Ru 2.57-2.72, 2 Rh 2.70
Rh: 0.6667 0.3333 0.0000  9 Ru 2.57-2.72, 2 Rh 2.70



Short version: P is the most stable of them.



## P
A relaxed Ru2Rh crystal. Source: Alexandria, functional PBE-GGA.

Size of the total moment = 0.00 μB/cell

a b c (Å): 6.0332 6.0332 3.8267
angles (deg): 90.00 90.00 142.90
With the nearest neighbours (Å) after each atom.
Atoms (fractional coordinates):
Ru: 0.0864 0.9136 0.7500  6 Ru 2.67-2.75, 6 Rh 2.71-2.73
Ru: 0.2509 0.7491 0.2500  8 Ru 2.67-2.71, 4 Rh 2.69-2.71
Ru: 0.7491 0.2509 0.7500  8 Ru 2.67-2.71, 4 Rh 2.69-2.71
Ru: 0.9136 0.0864 0.2500  6 Ru 2.67-2.75, 6 Rh 2.71-2.73
Rh: 0.4162 0.5838 0.7500  10 Ru 2.69-2.73, 2 Rh 2.71
Rh: 0.5838 0.4162 0.2500  10 Ru 2.69-2.73, 2 Rh 2.71



## Q
A relaxed Ru2Rh crystal. Source: Alexandria, functional PBE-GGA.

Size of the total moment = 0.00 μB/cell

a b c (Å): 8.8454 8.8454 8.8454
angles (deg): 162.54 153.64 31.80
With the nearest neighbours (Å) after each atom.
Atoms (fractional coordinates):
Ru: 0.2882 0.0382 0.2500  5 Ru 2.40-2.69
Ru: 0.4385 0.1885 0.2500  5 Ru 2.49-2.69, 4 Rh 2.68
Ru: 0.5615 0.8115 0.7500  5 Ru 2.49-2.69, 4 Rh 2.68
Ru: 0.7118 0.9618 0.7500  5 Ru 2.40-2.69
Rh: 0.1286 0.3786 0.7500  8 Ru 2.68-2.81, 2 Rh 2.69
Rh: 0.8714 0.6214 0.2500  8 Ru 2.68-2.81, 2 Rh 2.69



Short version: P is the most stable of them.



## P
A relaxed Ru2Rh crystal. Source: Alexandria, functional PBE-GGA.

Size of the total moment = 0.00 μB/cell

a b c (Å): 5.0223 5.0223 8.2060
angles (deg): 90.00 90.00 120.00
With the nearest neighbours (Å) after each atom.
Atoms (fractional coordinates):
Ru: 0.0000 0.0000 0.0000  6 Ru 2.54
Ru: 0.0000 0.0000 0.5000  6 Ru 2.54
Ru: 0.1723 0.3446 0.2500  6 Ru 2.43-2.60
Ru: 0.1723 0.8277 0.2500  6 Ru 2.43-2.60
Ru: 0.3446 0.1723 0.7500  6 Ru 2.43-2.60
Ru: 0.6554 0.8277 0.2500  6 Ru 2.43-2.60
Ru: 0.8277 0.1723 0.7500  6 Ru 2.43-2.60
Ru: 0.8277 0.6554 0.7500  6 Ru 2.43-2.60
Rh: 0.3333 0.6667 0.5827  1 Rh 2.75, 12 Ru 2.86-3.07
Rh: 0.3333 0.6667 0.9173  1 Rh 2.75, 12 Ru 2.86-3.07
Rh: 0.6667 0.3333 0.0827  1 Rh 2.75, 12 Ru 2.86-3.07
Rh: 0.6667 0.3333 0.4173  1 Rh 2.75, 12 Ru 2.86-3.07



## Q
A relaxed Ru2Rh crystal. Source: Alexandria, functional PBE-GGA.

Size of the total moment = 0.00 μB/cell

a b c (Å): 12.1641 12.1641 12.1641
angles (deg): 167.28 167.28 18.02
With the nearest neighbours (Å) after each atom.
Atoms (fractional coordinates):
Ru: 0.2946 0.5446 0.7500  6 Ru 2.53-2.69, 4 Rh 2.71
Ru: 0.4554 0.7054 0.7500  6 Ru 2.53-2.69, 4 Rh 2.71
Ru: 0.5446 0.2946 0.2500  6 Ru 2.53-2.69, 4 Rh 2.71
Ru: 0.7054 0.4554 0.2500  6 Ru 2.53-2.69, 4 Rh 2.71
Rh: 0.1250 0.8750 0.2500  4 Rh 2.69, 8 Ru 2.71
Rh: 0.8750 0.1250 0.7500  4 Rh 2.69, 8 Ru 2.71



Short version: Q is the most stable of them.